VASP calculation (GGA+U) on an optimized crystal structure of CrInO2.

The structure belongs to space group Cmcm (No. 63); the cell edges are 3.539, 16.654 and 3.977 Å and the angles 90.00°, 90.00° and 90.00°. The inequivalent atoms are Cr at (0.000, 0.066, 0.250), In at (0.000, 0.323, 0.250), O at (0.000, 0.058, 0.750) and O at (0.000, 0.189, 0.250).

For the electronic total energy, the calculation gives -6.144 eV per atom.